(1)
# La14DyTl | the Alexandria database | PBE | optimized geometry
# **Total energy**: -4.7947 eV/atom
# **Crystal system**: orthorhombic
# **Spin magnetization**: 0.00 μB/cell
# **DOS(E_F)**: 1.315 states/eV per atom
# **Energy of formation**: -0.762 eV per formula unit
data_La14DyTl
_chemical_formula_sum 'La28 Dy2 Tl2'
_space_group_name_H-M_alt 'A m m 2'
_space_group_IT_number 38
_cell_length_a 10.435
_cell_length_b 10.371
_cell_length_c 10.364
_cell_angle_alpha 90.00
_cell_angle_beta 90.00
_cell_angle_gamma 90.00
loop_
_space_group_symop_operation_xyz
'x,y,z'
'-x,-y,z'
'-x,y,z'
'x,-y,z'
'x,y+1/2,z+1/2'
'-x,-y+1/2,z+1/2'
'-x,y+1/2,z+1/2'
'x,-y+1/2,z+1/2'
loop_
_atom_site_label
_atom_site_type_symbol
_atom_site_fract_x
_atom_site_fract_y
_atom_site_fract_z
La1 La 0.000 0.000 0.000
La2 La 0.000 0.000 0.499
La3 La 0.000 0.250 0.249
La4 La 0.255 0.000 0.253
La5 La 0.255 0.000 0.746
La6 La 0.255 0.246 0.499
La7 La 0.500 0.250 0.249
Dy1 Dy 0.500 0.000 0.999
Tl1 Tl 0.500 0.000 0.500

(2)
# La6DyTl5 | the Alexandria database | PBE | optimized geometry
# **Total energy**: -4.1632 eV/atom
# **Crystal system**: orthorhombic
# **Spin magnetization**: 0.00 μB/cell
# **DOS(E_F)**: 1.146 states/eV per atom
# **Energy of formation**: -3.961 eV per formula unit
data_La6DyTl5
_chemical_formula_sum 'La12 Dy2 Tl10'
_space_group_name_H-M_alt 'I m m m'
_space_group_IT_number 71
_space_group_name_Hall '-I 2 2'
_cell_length_a 5.175
_cell_length_b 9.322
_cell_length_c 15.715
_cell_angle_alpha 90.00
_cell_angle_beta 90.00
_cell_angle_gamma 90.00
loop_
_atom_site_label
_atom_site_type_symbol
_atom_site_fract_x
_atom_site_fract_y
_atom_site_fract_z
La1 La 0.000 0.236 0.000
La2 La 0.000 0.259 0.327
Dy1 Dy 0.000 0.000 0.500
Tl1 Tl 0.000 0.000 0.171
Tl2 Tl 0.000 0.500 0.150
Tl3 Tl 0.000 0.500 0.500

(3)
# La15DyTl4 | the Alexandria database | PBE | optimized geometry
# **Total energy**: -4.5832 eV/atom
# **Crystal system**: tetragonal
# **Spin magnetization**: 0.00 μB/cell
# **DOS(E_F)**: 1.510 states/eV per atom
# **Energy of formation**: -3.686 eV per formula unit
data_La15DyTl4
_chemical_formula_sum 'La15 Dy1 Tl4'
_space_group_name_H-M_alt 'P 4/m m m'
_space_group_IT_number 123
_space_group_name_Hall '-P 4 2'
_cell_length_a 5.076
_cell_length_b 5.076
_cell_length_c 25.771
_cell_angle_alpha 90.00
_cell_angle_beta 90.00
_cell_angle_gamma 90.00
loop_
_atom_site_label
_atom_site_type_symbol
_atom_site_fract_x
_atom_site_fract_y
_atom_site_fract_z
La1 La 0.000 0.000 0.000
La2 La 0.000 0.000 0.203
La3 La 0.000 0.000 0.402
La4 La 0.000 0.500 0.104
La5 La 0.000 0.500 0.303
La6 La 0.000 0.500 0.500
Dy1 Dy 0.500 0.500 0.000
Tl1 Tl 0.500 0.500 0.204
Tl2 Tl 0.500 0.500 0.401

(4)
# LaDyTl | the Alexandria database | PBE | optimized geometry
# **Total energy**: -4.2318 eV/atom
# **Crystal system**: hexagonal
# **Spin magnetization**: 0.00 μB/cell
# **Energy relative to the lowest polymorph listed for this composition**: 0 meV per atom
# **DOS(E_F)**: 1.338 states/eV per atom
# **Energy of formation**: -0.800 eV per formula unit
data_LaDyTl
_chemical_formula_sum 'La2 Dy2 Tl2'
_space_group_name_H-M_alt 'P 63/m m c'
_space_group_IT_number 194
_space_group_name_Hall '-P 6c 2c'
_cell_length_a 5.5450
_cell_length_b 5.5450
_cell_length_c 6.8412
_cell_angle_alpha 90.00
_cell_angle_beta 90.00
_cell_angle_gamma 120.00
loop_
_atom_site_label
_atom_site_type_symbol
_atom_site_fract_x
_atom_site_fract_y
_atom_site_fract_z
La1 La 0.0000 0.0000 0.0000
Dy1 Dy 0.3333 0.6667 0.2500
Tl1 Tl 0.3333 0.6667 0.7500

Which of these has the highest energy of formation?
La14DyTl